This record from Alexandria describes a geometry-optimized AcPmDy4Tm2 structure. The functional is GGA-PBE.

The structure in CIF format:
```
data_AcPmDy4Tm2
_chemical_formula_sum 'Ac2 Pm2 Dy8 Tm4'
_cell_length_a 9.5937
_cell_length_b 9.5937
_cell_length_c 9.5937
_cell_angle_alpha 137.68
_cell_angle_beta 103.61
_cell_angle_gamma 91.45
_space_group_name_H-M_alt 'P 1'
_space_group_IT_number 1
loop_
_space_group_symop_operation_xyz
'x,y,z'
loop_
_atom_site_label
_atom_site_fract_x
_atom_site_fract_y
_atom_site_fract_z
Ac1 0.5000 0.0000 0.0000
Ac2 0.5000 0.5000 0.5000
Pm1 0.0000 0.0000 0.0000
Pm2 0.5000 0.0000 0.5000
Dy1 0.2308 0.7460 0.4849
Dy2 0.2376 0.2392 0.5016
Dy3 0.2376 0.7360 0.9984
Dy4 0.2389 0.2540 0.9849
Dy5 0.7611 0.7460 0.0151
Dy6 0.7624 0.2640 0.0016
Dy7 0.7624 0.7608 0.4984
Dy8 0.7692 0.2540 0.5151
Tm1 0.0000 0.0000 0.5000
Tm2 0.0000 0.5000 0.0000
Tm3 0.0000 0.5000 0.5000
Tm4 0.5000 0.5000 0.0000
```

Values from the calculation:
**Mass density**: 8.2 g cm⁻³
**Volume**: 275.2 Å³/f.u.
**Electronic total energy**: -4.082 eV per atom
**DFT formation energy**: 0.44 eV per atom
**Magnetization**: 2.12 μB per formula unit